Record 1
MnNi2MoC: relaxed, PBE.

Output
Energy of formation from the pure elements in eV per atom: 0.32
N(E_F) in states/eV/f.u.: 7.40
Magnetic moment in μB/f.u.: 0.0
Electronic total energy in eV per atom: -7.838

Lattice parameters (Å, degrees): 3.7967 3.8156 3.7967 90.00 90.00 90.00
Last column: nearest neighbours and their distance in Å.
Fractional coordinates of all 5 atoms:
C (0.0000, 0.0000, 0.0000)  4 Ni 1.90, 2 Mn 1.91
Mo (0.5000, 0.5000, 0.5000)  4 Mn 2.68, 8 Ni 2.69
Ni (0.5000, 0.0000, 0.0000)  2 C 1.90
Ni (0.0000, 0.0000, 0.5000)  2 C 1.90
Mn (0.0000, 0.5000, 0.0000)  2 C 1.91

***

Record 2
In3IrBr: relaxed, PBE.

Output
N(E_F) in states/eV/f.u.: 3.27
Magnetic moment in μB/f.u.: 0.1
Excess energy over the best structure of this formula in the dataset in eV per atom: 0.622
Electronic total energy in eV per atom: -3.505

Lattice parameters (Å, degrees): 5.4066 5.4066 11.7228 76.67 76.67 90.00
Last column: nearest neighbours and their distance in Å.
Fractional coordinates of all 10 atoms:
Br (0.0000, 0.0000, 0.0000)  4 In 3.10
In (0.6289, 0.8735, 0.2530)  2 In 2.65-2.76
In (0.6898, 0.6898, 0.6205)  2 Ir 2.71, 2 Br 3.01
Br (0.2500, 0.7500, 0.5000)  8 In 3.01-3.07
In (0.1182, 0.8735, 0.2530)  2 In 2.65-2.76
In (0.1265, 0.3711, 0.7470)  2 In 2.65-2.76
In (0.1265, 0.8818, 0.7470)  2 In 2.65-2.76
Ir (0.8054, 0.3054, 0.3892)  1 Ir 2.45, 2 In 2.71
Ir (0.6946, 0.1946, 0.6108)  1 Ir 2.45, 2 In 2.71
In (0.3102, 0.3102, 0.3795)  2 Ir 2.71, 2 Br 3.01

***

Record 3
Ac3HgRhN: relaxed, PBE.

Output
N(E_F) in states/eV/f.u.: 3.60
Magnetic moment in μB/f.u.: 0.0
Electronic total energy in eV per atom: -5.439

Lattice parameters (Å, degrees): 4.3444 9.5201 9.8336 102.88 90.00 90.00
Last column: nearest neighbours and their distance in Å.
Fractional coordinates of all 12 atoms:
Ac (0.7500, 0.8728, 0.1451)  1 N 2.36
Ac (0.2500, 0.8296, 0.4680)  3 N 2.47-2.52
Rh (0.7500, 0.3476, 0.8592)  5 Ac 2.90-3.01
Ac (0.7500, 0.1704, 0.5320)  3 N 2.47-2.52
N (0.7500, 0.9214, 0.3909)  4 Ac 2.36-2.52
Hg (0.2500, 0.1820, 0.2290)  7 Ac 3.51-3.71, 2 N 3.90
Ac (0.7500, 0.4470, 0.1599)  3 Rh 2.90-2.96
Ac (0.2500, 0.5530, 0.8401)  3 Rh 2.90-2.96
Hg (0.7500, 0.8180, 0.7710)  7 Ac 3.51-3.71, 2 N 3.90
Ac (0.2500, 0.1272, 0.8549)  1 N 2.36
N (0.2500, 0.0786, 0.6091)  4 Ac 2.36-2.52
Rh (0.2500, 0.6524, 0.1408)  5 Ac 2.90-3.01

***

Record 4
Be16FeTc2: relaxed, PBE.

Output
Energy of formation from the pure elements in eV per atom: -0.18
N(E_F) in states/eV/f.u.: 6.25
Magnetic moment in μB/f.u.: 0.6
Electronic total energy in eV per atom: -4.856

Lattice parameters (Å, degrees): 5.4839 5.4839 5.4839 83.07 83.07 83.07
Last column: nearest neighbours and their distance in Å.
Fractional coordinates of all 19 atoms:
Be (0.6987, 0.2975, 0.9976)  8 Be 2.06-2.25
Be (0.9976, 0.6987, 0.2975)  8 Be 2.06-2.25
Be (0.0009, 0.0009, 0.5008)  9 Be 2.06-2.20, 1 Fe 2.22
Be (0.1608, 0.6486, 0.6486)  8 Be 2.06-2.20
Be (0.9976, 0.2975, 0.6987)  8 Be 2.06-2.25
Be (0.6486, 0.1608, 0.6486)  8 Be 2.06-2.20
Be (0.8377, 0.3534, 0.3534)  8 Be 2.06-2.25
Be (0.0009, 0.5008, 0.0009)  9 Be 2.06-2.20, 1 Fe 2.22
Be (0.3534, 0.3534, 0.8377)  8 Be 2.06-2.25
Be (0.2975, 0.9976, 0.6987)  8 Be 2.06-2.25
Be (0.2975, 0.6987, 0.9976)  8 Be 2.06-2.25
Be (0.1050, 0.1050, 0.1050)  1 Fe 2.14, 6 Be 2.20-2.31
Be (0.5008, 0.0009, 0.0009)  9 Be 2.06-2.20, 1 Fe 2.22
Be (0.6987, 0.9976, 0.2975)  8 Be 2.06-2.25
Tc (0.6675, 0.6675, 0.6675)  1 Fe 2.49, 15 Be 2.55-2.74
Be (0.3534, 0.8377, 0.3534)  8 Be 2.06-2.25
Be (0.6486, 0.6486, 0.1608)  8 Be 2.06-2.20
Tc (0.3322, 0.3322, 0.3322)  13 Be 2.40-2.69
Fe (0.9026, 0.9026, 0.9026)  7 Be 2.14-2.32

***

Record 5
HoTm4Ag5: relaxed, PBE.

Output
Energy of formation from the pure elements in eV per atom: -0.34
N(E_F) in states/eV/f.u.: 4.60
Magnetic moment in μB/f.u.: 0.0
Electronic total energy in eV per atom: -4.011

Lattice parameters (Å, degrees): 3.5605 3.5605 18.2844 90.00 90.00 90.00
Last column: nearest neighbours and their distance in Å.
Fractional coordinates of all 10 atoms:
Tm (0.0000, 0.0000, 0.4003)  8 Ag 3.11
Ag (0.5000, 0.5000, 0.5000)  8 Tm 3.11
Ag (0.5000, 0.5000, 0.6993)  8 Tm 3.11
Ho (0.0000, 0.0000, 0.0000)  8 Ag 3.14
Ag (0.5000, 0.5000, 0.8978)  4 Tm 3.10, 4 Ho 3.14
Tm (0.0000, 0.0000, 0.7989)  8 Ag 3.10-3.11
Ag (0.5000, 0.5000, 0.1022)  4 Tm 3.10, 4 Ho 3.14
Tm (0.0000, 0.0000, 0.5997)  8 Ag 3.11
Tm (0.0000, 0.0000, 0.2011)  8 Ag 3.10-3.11
Ag (0.5000, 0.5000, 0.3007)  8 Tm 3.11

***

Record 6
La3Te: relaxed, PBE.

Output
N(E_F) in states/eV/f.u.: 5.68
Magnetic moment in μB/f.u.: 0.0
Excess energy over the best structure of this formula in the dataset in eV per atom: 0.232
Electronic total energy in eV per atom: -5.011

Lattice parameters (Å, degrees): 6.0402 3.9926 5.6102 85.42 90.00 90.00
Last column: nearest neighbours and their distance in Å.
Fractional coordinates of all 4 atoms:
Te (0.5000, 0.2500, 0.2500)  8 La 3.31-3.57
La (0.0000, 0.0759, 0.0141)  2 La 3.09-3.17, 2 Te 3.39
La (0.0000, 0.4241, 0.4859)  2 La 3.09-3.17, 2 Te 3.39
La (0.5000, 0.7500, 0.7500)  4 Te 3.31-3.57, 4 La 3.65

***

Record 7
Ac2YHoSe6: relaxed, PBE.

Output
N(E_F) in states/eV/f.u.: 0.00
Magnetic moment in μB/f.u.: 0.0
Electronic total energy in eV per atom: -5.994

Lattice parameters (Å, degrees): 7.1701 7.8976 10.5683 90.00 90.06 90.00
Last column: nearest neighbours and their distance in Å.
Fractional coordinates of all 20 atoms:
Ho (0.0000, 0.5000, 0.0000)  6 Se 2.82-2.85
Y (0.5000, 0.0000, 0.0000)  6 Se 2.83-2.87
Ho (0.5000, 0.0000, 0.5000)  6 Se 2.82-2.85
Ac (0.4634, 0.4034, 0.2502)  6 Se 3.10-3.31
Se (0.1783, 0.1866, 0.4357)  1 Ho 2.82, 1 Y 2.87, 1 Ac 3.15
Ac (0.9634, 0.0966, 0.7502)  6 Se 3.10-3.31
Se (0.8231, 0.8120, 0.9356)  1 Y 2.84, 1 Ho 2.85, 1 Ac 3.15
Se (0.3686, 0.9594, 0.7492)  1 Ho 2.82, 1 Y 2.83, 2 Ac 3.10-3.11
Se (0.3217, 0.6866, 0.0643)  1 Ho 2.82, 1 Y 2.87, 1 Ac 3.15
Se (0.3231, 0.6880, 0.4356)  1 Y 2.84, 1 Ho 2.85, 1 Ac 3.15
Se (0.6769, 0.3120, 0.5644)  1 Y 2.84, 1 Ho 2.85, 1 Ac 3.15
Y (0.0000, 0.5000, 0.5000)  6 Se 2.83-2.87
Ac (0.5366, 0.5966, 0.7498)  6 Se 3.10-3.31
Se (0.1314, 0.4594, 0.7508)  1 Ho 2.82, 1 Y 2.83, 2 Ac 3.10-3.11
Se (0.1769, 0.1880, 0.0644)  1 Y 2.84, 1 Ho 2.85, 1 Ac 3.15
Se (0.8686, 0.5406, 0.2492)  1 Ho 2.82, 1 Y 2.83, 2 Ac 3.10-3.11
Ac (0.0366, 0.9034, 0.2498)  6 Se 3.10-3.31
Se (0.8217, 0.8134, 0.5643)  1 Ho 2.82, 1 Y 2.87, 1 Ac 3.15
Se (0.6783, 0.3134, 0.9357)  1 Ho 2.82, 1 Y 2.87, 1 Ac 3.15
Se (0.6314, 0.0406, 0.2508)  1 Ho 2.82, 1 Y 2.83, 2 Ac 3.10-3.11

***

Record 8
SrPmRu2O8: relaxed, PBE.

Output
N(E_F) in states/eV/f.u.: 5.81
Magnetic moment in μB/f.u.: 3.0
Electronic total energy in eV per atom: -7.015

Lattice parameters (Å, degrees): 5.9284 5.9284 7.3288 90.00 90.00 120.00
Last column: nearest neighbours and their distance in Å.
Fractional coordinates of all 12 atoms:
O (0.6720, 0.8369, 0.7194)  1 Ru 1.83
Ru (0.3333, 0.6667, 0.7981)  4 O 1.77-1.83
O (0.3280, 0.1631, 0.2806)  1 Ru 1.83
O (0.3333, 0.6667, 0.0396)  1 Ru 1.77
O (0.6667, 0.3333, 0.9604)  1 Ru 1.77
Sr (0.0000, 0.0000, 0.0000)  6 O 2.66
O (0.1631, 0.8351, 0.7194)  1 Ru 1.83
Ru (0.6667, 0.3333, 0.2019)  4 O 1.77-1.83
O (0.8351, 0.6720, 0.2806)  1 Ru 1.83
O (0.8369, 0.1649, 0.2806)  1 Ru 1.83
O (0.1649, 0.3280, 0.7194)  1 Ru 1.83
Pm (0.0000, 0.0000, 0.5000)  6 O 2.33

***

Record 9
Tb2Pm2Nd2Mg: relaxed, PBE.

Output
Energy of formation from the pure elements in eV per atom: 0.09
N(E_F) in states/eV/f.u.: 10.51
Magnetic moment in μB/f.u.: 0.0
Electronic total energy in eV per atom: -4.184

Lattice parameters (Å, degrees): 3.5603 6.1648 11.8300 110.99 90.00 106.78
Last column: nearest neighbours and their distance in Å.
Fractional coordinates of all 7 atoms:
Mg (0.0000, 0.0000, 0.5000)  6 Pm 3.43-3.72, 4 Nd 3.44, 2 Mg 3.56
Tb (0.6696, 0.3393, 0.0833)  4 Nd 3.51-3.66, 5 Tb 3.56-3.74, 2 Pm 3.57
Tb (0.3304, 0.6607, 0.9167)  4 Nd 3.51-3.66, 5 Tb 3.56-3.74, 2 Pm 3.57
Pm (0.7641, 0.5283, 0.6378)  3 Nd 3.40-3.59, 3 Mg 3.43-3.72, 4 Pm 3.56-3.62, 2 Tb 3.57
Nd (0.4521, 0.9043, 0.2369)  3 Pm 3.40-3.59, 2 Mg 3.44, 4 Tb 3.51-3.66, 2 Nd 3.56
Nd (0.5479, 0.0957, 0.7631)  3 Pm 3.40-3.59, 2 Mg 3.44, 4 Tb 3.51-3.66, 2 Nd 3.56
Pm (0.2359, 0.4717, 0.3622)  3 Nd 3.40-3.59, 3 Mg 3.43-3.72, 4 Pm 3.56-3.62, 2 Tb 3.57

***

Record 10
CaMnBe2: relaxed, PBE.

Output
Energy of formation from the pure elements in eV per atom: 0.74
N(E_F) in states/eV/f.u.: 3.05
Magnetic moment in μB/f.u.: 2.6
Excess energy over the best structure of this formula in the dataset in eV per atom: 0.563
Electronic total energy in eV per atom: -3.920

Lattice parameters (Å, degrees): 8.1951 8.1951 8.1951 21.09 21.09 21.09
Last column: nearest neighbours and their distance in Å.
Fractional coordinates of all 4 atoms:
Mn (0.7500, 0.7500, 0.7500)  6 Be 2.38
Ca (0.2500, 0.2500, 0.2500)  6 Be 2.94, 6 Ca 3.00
Be (0.4846, 0.4846, 0.4846)  3 Mn 2.38
Be (0.0154, 0.0154, 0.0154)  3 Mn 2.38

***

Record 11
TbNd2Ho5In: relaxed, PBE.

Output
Energy of formation from the pure elements in eV per atom: -0.01
N(E_F) in states/eV/f.u.: 12.54
Magnetic moment in μB/f.u.: 0.0
Electronic total energy in eV per atom: -4.434

Lattice parameters (Å, degrees): 5.3796 10.4175 10.5433 90.00 90.00 104.96
Last column: nearest neighbours and their distance in Å.
Fractional coordinates of all 18 atoms:
Ho (0.6154, 0.2307, 0.5082)  4 Nd 3.47, 6 Ho 3.51-3.71, 1 Tb 3.57
Nd (0.1166, 0.2331, 0.2999)  9 Ho 3.39-3.73, 1 Tb 3.58
Ho (0.5000, 0.0000, 0.2582)  2 In 3.26, 2 Ho 3.51, 4 Nd 3.60
Ho (0.7102, 0.4205, 0.8098)  1 In 3.12, 2 Ho 3.31, 2 Tb 3.41, 3 Nd 3.43-3.49
Ho (0.9881, 0.9762, 0.5082)  2 In 3.17, 2 Nd 3.39
In (0.4050, 0.8100, 0.5082)  6 Ho 3.12-3.26
In (0.5950, 0.1900, 0.0082)  6 Ho 3.12-3.26
Nd (0.8834, 0.7669, 0.7999)  9 Ho 3.39-3.73, 1 Tb 3.58
Ho (0.2898, 0.5795, 0.7067)  1 In 3.12, 2 Ho 3.31, 2 Tb 3.41, 3 Nd 3.43-3.49
Nd (0.1165, 0.2331, 0.7165)  9 Ho 3.39-3.73, 1 Tb 3.58
Tb (0.2074, 0.4148, 0.0083)  7 Ho 3.41-3.59, 2 In 3.52, 2 Nd 3.58
Ho (0.7102, 0.4205, 0.2067)  1 In 3.12, 2 Ho 3.31, 2 Tb 3.41, 3 Nd 3.43-3.49
Ho (0.0119, 0.0238, 0.0082)  2 In 3.17, 2 Nd 3.39
Ho (0.5000, 0.0000, 0.7582)  2 In 3.26, 2 Ho 3.51, 4 Nd 3.60
Nd (0.8835, 0.7669, 0.2165)  9 Ho 3.39-3.73, 1 Tb 3.58
Ho (0.2898, 0.5795, 0.3098)  1 In 3.12, 2 Ho 3.31, 2 Tb 3.41, 3 Nd 3.43-3.49
Tb (0.7926, 0.5851, 0.5083)  7 Ho 3.41-3.59, 2 In 3.52, 2 Nd 3.58
Ho (0.3846, 0.7693, 0.0082)  4 Nd 3.47, 6 Ho 3.51-3.71, 1 Tb 3.57

***

Record 12
ZnW2SeS: relaxed, PBE.

Output
N(E_F) in states/eV/f.u.: 5.21
Magnetic moment in μB/f.u.: 2.1
Electronic total energy in eV per atom: -5.152

Lattice parameters (Å, degrees): 4.6876 4.8540 4.6876 90.00 90.00 90.00
Last column: nearest neighbours and their distance in Å.
Fractional coordinates of all 5 atoms:
W (0.0000, 0.0000, 0.5000)  2 Se 2.34
S (0.0000, 0.5000, 0.0000)  2 Se 2.43
W (0.5000, 0.0000, 0.0000)  2 Se 2.34
Se (0.0000, 0.0000, 0.0000)  4 W 2.34, 2 S 2.43
Zn (0.5000, 0.5000, 0.5000)  4 S 3.31, 8 W 3.37